(1)
DFT (PBE) results for crystalline KIn2S at its relaxed geometry.

a = 3.9004 Å, b = 3.9004 Å, c = 10.9166 Å
α = 79.71°, β = 79.71°, γ = 60.00°
Element x y z (fractional)
K1 0.0000 0.0000 0.0000
S1 0.5000 0.5000 0.5000
In1 0.1121 0.1121 0.6637
In2 0.8879 0.8879 0.3363

## Properties
Energy relative to the elements, uncorrected ... -0.18 eV per atom


(2)
DFT (PBE) results for crystalline AlPdO2 at its relaxed geometry.

a = 5.2583 Å, b = 3.5249 Å, c = 9.5292 Å
α = 90.00°, β = 90.00°, γ = 90.00°
Element x y z (fractional)
O1 0.0951 0.2500 0.4253
O2 0.4049 0.7500 0.9253
O3 0.9049 0.7500 0.5747
O4 0.5951 0.2500 0.0747
O5 0.2976 0.2500 0.7069
O6 0.2024 0.7500 0.2069
O7 0.7024 0.7500 0.2931
O8 0.7976 0.2500 0.7931
Al1 0.9818 0.2500 0.6276
Al2 0.5182 0.7500 0.1276
Al3 0.0182 0.7500 0.3724
Al4 0.4818 0.2500 0.8724
Pd1 0.5421 0.2500 0.4089
Pd2 0.9579 0.7500 0.9089
Pd3 0.4579 0.7500 0.5911
Pd4 0.0421 0.2500 0.0911

## Properties
Energy relative to the elements, uncorrected ... -1.67 eV per atom


(3)
DFT (PBE) results for crystalline KPr2Te6Pb3 at its relaxed geometry.

a = 4.5755 Å, b = 9.4904 Å, c = 10.4253 Å
α = 103.74°, β = 102.68°, γ = 90.00°
Element x y z (fractional)
K1 0.5000 0.0000 0.0000
Pr1 0.8318 0.6534 0.6636
Pr2 0.1682 0.3466 0.3364
Te1 0.3216 0.8946 0.6432
Te2 0.6683 0.5909 0.3366
Te3 0.6784 0.1054 0.3568
Te4 0.0072 0.2664 0.0144
Te5 0.9928 0.7336 0.9856
Te6 0.3317 0.4091 0.6634
Pb1 0.5000 0.5000 0.0000
Pb2 0.8429 0.1501 0.6858
Pb3 0.1571 0.8499 0.3142

## Properties
Energy relative to the elements, uncorrected ... -0.85 eV per atom


(4)
DFT (PBE) results for crystalline Sr2Li3MgAg4 at its relaxed geometry.

a = 4.6091 Å, b = 4.6091 Å, c = 11.1632 Å
α = 90.00°, β = 90.00°, γ = 90.00°
Element x y z (fractional)
Sr1 0.5000 0.0000 0.2370
Sr2 0.0000 0.5000 0.7630
Li1 0.0000 0.0000 0.5000
Li2 0.5000 0.0000 0.8856
Li3 0.0000 0.5000 0.1144
Mg1 0.5000 0.5000 0.5000
Ag1 0.5000 0.5000 0.0000
Ag2 0.0000 0.0000 0.0000
Ag3 0.5000 0.0000 0.6440
Ag4 0.0000 0.5000 0.3560

## Properties
Energy relative to the elements ... -2.06 eV/f.u.


(5)
DFT (PBE) results for crystalline DyZn2Ag8 at its relaxed geometry.

a = 4.8315 Å, b = 7.3221 Å, c = 7.3221 Å
α = 115.52°, β = 76.71°, γ = 76.71°
Element x y z (fractional)
Dy1 0.5000 0.0000 0.0000
Zn1 0.0000 0.6877 0.3123
Zn2 0.0000 0.3123 0.6877
Ag1 0.8796 0.0808 0.3233
Ag2 0.8796 0.3233 0.0808
Ag3 0.3130 0.4121 0.4121
Ag4 0.5000 0.2347 0.7653
Ag5 0.5000 0.7653 0.2347
Ag6 0.6870 0.5879 0.5879
Ag7 0.1204 0.6767 0.9192
Ag8 0.1204 0.9192 0.6767

## Properties
Energy relative to the elements ... 0.06 eV/f.u.


(6)
DFT (PBE) results for crystalline ZrSbPd3 at its relaxed geometry.

a = 4.8553 Å, b = 4.8553 Å, c = 4.8553 Å
α = 90.00°, β = 90.00°, γ = 90.00°
Element x y z (fractional)
Sb1 0.0000 0.0000 0.0000
Zr1 0.5000 0.5000 0.5000
Pd1 0.0000 0.5000 0.0000
Pd2 0.0000 0.0000 0.5000
Pd3 0.5000 0.0000 0.0000

## Properties
E above lowest polymorph ... 0.810 eV per atom
Energy relative to the elements, uncorrected ... 0.30 eV per atom


(7)
DFT (PBE) results for crystalline Rb3GaCo at its relaxed geometry.

a = 6.4402 Å, b = 6.4402 Å, c = 6.4402 Å
α = 90.00°, β = 90.00°, γ = 90.00°
Element x y z (fractional)
Co1 0.0000 0.0000 0.0000
Ga1 0.5000 0.5000 0.5000
Rb1 0.0000 0.5000 0.0000
Rb2 0.0000 0.0000 0.5000
Rb3 0.5000 0.0000 0.0000

## Properties
Energy relative to the elements ... 4.86 eV/f.u.


(8)
DFT (PBE) results for crystalline La2InTc at its relaxed geometry.

a = 9.6802 Å, b = 9.6802 Å, c = 9.6802 Å
α = 22.44°, β = 22.44°, γ = 22.44°
Element x y z (fractional)
In1 0.7500 0.7500 0.7500
La1 0.9858 0.9858 0.9858
La2 0.5142 0.5142 0.5142
Tc1 0.2500 0.2500 0.2500

## Properties
Energy relative to the elements ... 0.41 eV/f.u.


(9)
DFT (PBE) results for crystalline ErTh2Re at its relaxed geometry.

a = 3.5450 Å, b = 3.5450 Å, c = 8.6680 Å
α = 90.00°, β = 90.00°, γ = 90.00°
Element x y z (fractional)
Re1 0.5000 0.5000 0.0000
Th1 0.0000 0.0000 0.7937
Th2 0.0000 0.0000 0.2063
Er1 0.5000 0.5000 0.5000

## Properties
E above lowest polymorph ... 0.000 eV per atom
Energy relative to the elements ... 0.53 eV/f.u.


(10)
DFT (PBE) results for crystalline Nd2Ga4CoNi3 at its relaxed geometry.

a = 4.1899 Å, b = 4.1899 Å, c = 9.7401 Å
α = 90.00°, β = 90.00°, γ = 90.00°
Element x y z (fractional)
Nd1 0.5000 0.0000 0.2553
Nd2 0.0000 0.5000 0.7447
Ga1 0.5000 0.5000 0.0000
Ga2 0.0000 0.0000 0.0000
Ga3 0.5000 0.0000 0.6230
Ga4 0.0000 0.5000 0.3770
Co1 0.5000 0.5000 0.5000
Ni1 0.0000 0.0000 0.5000
Ni2 0.5000 0.0000 0.8704
Ni3 0.0000 0.5000 0.1296

## Properties
Energy relative to the elements ... -5.18 eV/f.u.


(11)
DFT (PBE) results for crystalline Be2MoN at its relaxed geometry.

a = 5.7676 Å, b = 5.7676 Å, c = 4.6503 Å
α = 51.67°, β = 51.67°, γ = 90.00°
Element x y z (fractional)
Be1 0.5197 0.1250 0.2500
Be2 0.2303 0.6250 0.2500
Be3 0.3750 0.4803 0.7500
Be4 0.8750 0.7697 0.7500
Mo1 0.0000 0.0000 0.0000
Mo2 0.7500 0.2500 0.5000
N1 0.5000 0.5000 0.0000
N2 0.2500 0.7500 0.5000

## Properties
Energy relative to the elements, uncorrected ... 0.01 eV per atom


(12)
DFT (PBE) results for crystalline CuTcSe2 at its relaxed geometry.

a = 3.9249 Å, b = 3.9187 Å, c = 5.6000 Å
α = 90.01°, β = 90.00°, γ = 90.00°
Element x y z (fractional)
Cu1 0.5000 0.8751 0.6255
Se1 0.0000 0.8751 0.8893
Se2 0.5000 0.3749 0.3607
Tc1 0.0000 0.3750 0.6245

## Properties
E above lowest polymorph ... 0.000 eV per atom
Energy relative to the elements, uncorrected ... -0.03 eV per atom


(13)
DFT (PBE) results for crystalline Hf2Zr2Hg at its relaxed geometry.

a = 7.5396 Å, b = 7.5396 Å, c = 4.0345 Å
α = 90.00°, β = 90.00°, γ = 90.00°
Element x y z (fractional)
Hf1 0.3637 0.8637 0.0000
Hf2 0.8637 0.6363 0.0000
Hf3 0.6363 0.1363 0.0000
Hf4 0.1363 0.3637 0.0000
Hg1 0.0000 0.0000 0.0000
Hg2 0.5000 0.5000 0.0000
Zr1 0.1606 0.6606 0.5000
Zr2 0.6606 0.8394 0.5000
Zr3 0.8394 0.3394 0.5000
Zr4 0.3394 0.1606 0.5000

## Properties
E above lowest polymorph ... 0.000 eV per atom
Energy relative to the elements ... 0.59 eV/f.u.


(14)
DFT (PBE) results for crystalline RbSnPd at its relaxed geometry.

a = 4.8348 Å, b = 5.0111 Å, c = 8.0250 Å
α = 87.54°, β = 90.18°, γ = 89.82°
Element x y z (fractional)
Rb1 0.2506 0.2573 0.8393
Rb2 0.7494 0.7427 0.1607
Sn1 0.7499 0.7988 0.6326
Sn2 0.2501 0.2012 0.3674
Pd1 0.2494 0.6882 0.5017
Pd2 0.7506 0.3118 0.4983

## Properties
E above lowest polymorph ... 0.000 eV per atom
Energy relative to the elements ... -1.16 eV/f.u.


(15)
DFT (PBE) results for crystalline Ac2Rh3 at its relaxed geometry.

a = 4.2501 Å, b = 4.3587 Å, c = 13.4693 Å
α = 90.00°, β = 99.07°, γ = 90.00°
Element x y z (fractional)
Ac1 0.2986 0.7500 0.5972
Ac2 0.7014 0.2500 0.4028
Ac3 0.5686 0.7500 0.1372
Ac4 0.4314 0.2500 0.8628
Rh1 0.1777 0.7500 0.3553
Rh2 0.8223 0.2500 0.6447
Rh3 0.8788 0.7500 0.7577
Rh4 0.1212 0.2500 0.2423
Rh5 0.0253 0.2500 0.0506
Rh6 0.9747 0.7500 0.9494

## Properties
Energy relative to the elements ... -2.79 eV/f.u.


(16)
DFT (PBE) results for crystalline Cs2BaHg8 at its relaxed geometry.

a = 5.1878 Å, b = 8.2798 Å, c = 11.0057 Å
α = 111.52°, β = 102.62°, γ = 92.34°
Element x y z (fractional)
Cs1 0.6871 0.6871 0.3732
Cs2 0.3129 0.3129 0.6268
Ba1 0.5000 0.0000 0.0000
Hg1 0.1124 0.3100 0.2195
Hg2 0.8899 0.0873 0.7781
Hg3 0.7419 0.4038 0.9989
Hg4 0.6728 0.1735 0.3442
Hg5 0.3272 0.8265 0.6558
Hg6 0.2581 0.5962 0.0011
Hg7 0.1101 0.9127 0.2219
Hg8 0.8876 0.6900 0.7805

## Properties
Energy relative to the elements ... -2.75 eV/f.u.


(17)
DFT (PBE) results for crystalline CsAlCl2 at its relaxed geometry.

a = 9.6024 Å, b = 9.6024 Å, c = 9.6024 Å
α = 28.92°, β = 28.92°, γ = 28.92°
Element x y z (fractional)
Cs1 0.0000 0.0000 0.0000
Al1 0.5000 0.5000 0.5000
Cl1 0.8871 0.8871 0.8871
Cl2 0.1129 0.1129 0.1129

## Properties
E above lowest polymorph ... 0.257 eV per atom
Energy relative to the elements, uncorrected ... -0.78 eV per atom


(18)
DFT (PBE) results for crystalline Rb2Mg2Pt at its relaxed geometry.

a = 10.5602 Å, b = 10.5602 Å, c = 3.2319 Å
α = 90.00°, β = 90.00°, γ = 90.00°
Element x y z (fractional)
Mg1 0.0983 0.5983 0.5000
Mg2 0.5983 0.9017 0.5000
Mg3 0.9017 0.4017 0.5000
Mg4 0.4017 0.0983 0.5000
Rb1 0.3021 0.8021 0.0000
Rb2 0.8021 0.6979 0.0000
Rb3 0.6979 0.1979 0.0000
Rb4 0.1979 0.3021 0.0000
Pt1 0.0000 0.0000 0.0000
Pt2 0.5000 0.5000 0.0000

## Properties
E above lowest polymorph ... 0.384 eV per atom
Energy relative to the elements ... 3.59 eV/f.u.


(19)
DFT (PBE) results for crystalline Ca2LaTlNi at its relaxed geometry.

a = 5.4849 Å, b = 5.4849 Å, c = 5.2629 Å
α = 90.00°, β = 90.00°, γ = 90.00°
Element x y z (fractional)
Ni1 0.0000 0.0000 0.0000
Tl1 0.5000 0.5000 0.5000
Ca1 0.0000 0.5000 0.0000
Ca2 0.5000 0.0000 0.0000
La1 0.0000 0.0000 0.5000

## Properties
Energy relative to the elements ... -0.95 eV/f.u.


(20)
DFT (PBE) results for crystalline Ba2ErO at its relaxed geometry.

a = 3.7992 Å, b = 3.7992 Å, c = 10.7333 Å
α = 79.81°, β = 79.81°, γ = 60.00°
Element x y z (fractional)
Ba1 0.1161 0.1161 0.6518
Ba2 0.8839 0.8839 0.3482
O1 0.5000 0.5000 0.5000
Er1 0.0000 0.0000 0.0000

## Properties
Energy relative to the elements, uncorrected ... -0.90 eV per atom


Table of V (Å³/f.u.), in record order: 140.7, 44.2, 428.4, 237.1, 211.0, 114.5, 267.1, 115.9, 108.9, 171.0, 37.2, 86.1, 114.7, 97.1, 123.2, 425.3, 183.2, 180.2, 158.3, 131.3